i | # Pm2InAg PBE relaxed
data_Pm2InAg
_cell_length_a 7.615
_cell_length_b 7.615
_cell_length_c 7.615
_cell_angle_alpha 90.00
_cell_angle_beta 90.00
_cell_angle_gamma 90.00
_space_group_name_H-M_alt 'F m -3 m'
_space_group_IT_number 225
_space_group_name_Hall '-F 4 2 3'
loop_
_atom_site_label
_atom_site_fract_x
_atom_site_fract_y
_atom_site_fract_z
_atom_site_occupancy
Pm1 0.250 0.250 0.250 1
In1 0.000 0.000 0.000 1
Ag1 0.000 0.000 0.500 1
# V (Å³ per cell): 442
# DOS at the Fermi energy (states/eV/cell): 16.46



ii | # Pm2InAg PBE relaxed
data_Pm2InAg
_cell_length_a 3.708
_cell_length_b 3.708
_cell_length_c 7.940
_cell_angle_alpha 90.00
_cell_angle_beta 90.00
_cell_angle_gamma 90.00
_space_group_name_H-M_alt 'P 4/m m m'
_space_group_IT_number 123
_space_group_name_Hall '-P 4 2'
loop_
_atom_site_label
_atom_site_fract_x
_atom_site_fract_y
_atom_site_fract_z
_atom_site_occupancy
Pm1 0.000 0.000 0.239 1
In1 0.500 0.500 0.500 1
Ag1 0.500 0.500 0.000 1
# V (Å³ per cell): 109
# DOS at the Fermi energy (states/eV/cell): 4.25



The most stable arrangement is ii, and the next structure is 0.7 kJ/mol of atoms less stable.



i | # Pm8In2Ag PBE relaxed
data_Pm8In2Ag
_cell_length_a 18.372
_cell_length_b 5.386
_cell_length_c 6.919
_cell_angle_alpha 90.00
_cell_angle_beta 93.78
_cell_angle_gamma 90.00
_space_group_name_H-M_alt 'C 1 2/m 1'
_space_group_IT_number 12
_space_group_name_Hall '-C 2y'
loop_
_atom_site_label
_atom_site_fract_x
_atom_site_fract_y
_atom_site_fract_z
_atom_site_occupancy
Pm1 0.031 0.000 0.262 1
Pm2 0.091 0.500 0.911 1
Pm3 0.169 0.500 0.409 1
Pm4 0.212 0.000 0.106 1
In1 0.153 0.000 0.659 1
Ag1 0.000 0.500 0.500 1
# V (Å³ per cell): 683
# DOS at the Fermi energy (states/eV/cell): 26.93



ii | # Pm8In2Ag PBE relaxed
data_Pm8In2Ag
_cell_length_a 19.204
_cell_length_b 5.301
_cell_length_c 6.931
_cell_angle_alpha 90.00
_cell_angle_beta 103.32
_cell_angle_gamma 90.00
_space_group_name_H-M_alt 'C 1 2/m 1'
_space_group_IT_number 12
_space_group_name_Hall '-C 2y'
loop_
_atom_site_label
_atom_site_fract_x
_atom_site_fract_y
_atom_site_fract_z
_atom_site_occupancy
Pm1 0.016 0.000 0.269 1
Pm2 0.093 0.500 0.967 1
Pm3 0.154 0.500 0.475 1
Pm4 0.206 0.000 0.797 1
In1 0.185 0.000 0.244 1
Ag1 0.000 0.500 0.500 1
# V (Å³ per cell): 687
# DOS at the Fermi energy (states/eV/cell): 23.35



The most stable arrangement is i, and the next structure is 2.0 kJ/mol of atoms less stable.



i | # PmInAgSn PBE relaxed
data_PmInAgSn
_cell_length_a 4.518
_cell_length_b 4.530
_cell_length_c 4.797
_cell_angle_alpha 90.00
_cell_angle_beta 90.00
_cell_angle_gamma 90.00
_space_group_name_H-M_alt 'P m m m'
_space_group_IT_number 47
_space_group_name_Hall '-P 2 2'
loop_
_atom_site_label
_atom_site_fract_x
_atom_site_fract_y
_atom_site_fract_z
_atom_site_occupancy
Pm1 0.000 0.000 0.000 1
In1 0.000 0.500 0.500 1
Ag1 0.500 0.000 0.500 1
Sn1 0.500 0.500 0.000 1
# V (Å³ per cell): 98
# DOS at the Fermi energy (states/eV/cell): 1.92



ii | # PmInAgSn PBE relaxed
data_PmInAgSn
_cell_length_a 7.400
_cell_length_b 7.400
_cell_length_c 7.400
_cell_angle_alpha 90.00
_cell_angle_beta 90.00
_cell_angle_gamma 90.00
_space_group_name_H-M_alt 'F -4 3 m'
_space_group_IT_number 216
_space_group_name_Hall 'F -4 2 3'
loop_
_atom_site_label
_atom_site_fract_x
_atom_site_fract_y
_atom_site_fract_z
_atom_site_occupancy
Pm1 0.000 0.000 0.000 1
In1 0.000 0.000 0.500 1
Ag1 0.250 0.250 0.750 1
Sn1 0.250 0.250 0.250 1
# V (Å³ per cell): 405
# DOS at the Fermi energy (states/eV/cell): 12.02



The most stable arrangement is i, and the next structure is 18.8 kJ/mol of atoms less stable.



i | # PmTmInAg PBE relaxed
data_PmTmInAg
_cell_length_a 3.639
_cell_length_b 3.639
_cell_length_c 7.801
_cell_angle_alpha 90.00
_cell_angle_beta 90.00
_cell_angle_gamma 90.00
_space_group_name_H-M_alt 'P 4 m m'
_space_group_IT_number 99
_space_group_name_Hall 'P 4 -2'
loop_
_atom_site_label
_atom_site_fract_x
_atom_site_fract_y
_atom_site_fract_z
_atom_site_occupancy
Pm1 0.000 0.000 0.000 1
Tm1 0.000 0.000 0.527 1
In1 0.500 0.500 0.272 1
Ag1 0.500 0.500 0.735 1
# V (Å³ per cell): 103
# DOS at the Fermi energy (states/eV/cell): 2.89



ii | # PmTmInAg PBE relaxed
data_PmTmInAg
_cell_length_a 7.479
_cell_length_b 7.479
_cell_length_c 7.479
_cell_angle_alpha 90.00
_cell_angle_beta 90.00
_cell_angle_gamma 90.00
_space_group_name_H-M_alt 'F -4 3 m'
_space_group_IT_number 216
_space_group_name_Hall 'F -4 2 3'
loop_
_atom_site_label
_atom_site_fract_x
_atom_site_fract_y
_atom_site_fract_z
_atom_site_occupancy
Pm1 0.000 0.000 0.000 1
Tm1 0.000 0.000 0.500 1
In1 0.250 0.250 0.250 1
Ag1 0.250 0.250 0.750 1
# V (Å³ per cell): 418
# DOS at the Fermi energy (states/eV/cell): 13.67



The most stable arrangement is i, and the next structure is 1.7 kJ/mol of atoms less stable.